AlCrH2Ir: relaxed, PBE.

Computed properties:
As for the total moment: 0.347 μB/atom. The raw total energy is -5.26 eV/atom.

```
AlCrH2Ir
1.0
3.507 0.000 0.000
0.000 4.849 0.000
0.000 0.000 3.507
Cr Ir Al H
1 1 1 2
Cartesian
0.000 2.424 0.000
0.000 0.000 0.000
1.754 2.424 1.754
0.000 0.000 1.754
1.754 0.000 0.000
```